Entry 1:
Computed, not measured: crystalline ZnRePb at its relaxed geometry at the GGA-PBE level of DFT.

Magnetic moment   0.069 μB per formula unit
SG   No. 107
Calculated density   13.80 g/cm3
Distance to the lowest polymorph of the same formula   0 meV/atom
Energy   -5.09 eV/atom
Volume   55 Å³ per cell

Lattice parameters (Å, degrees): 5.3764 5.3764 5.3764 143.28 143.28 52.91
Sites, in units of the cell vectors:
Zn 0.0000 0.0000 0.0000
Re 0.3857 0.3857 0.0000
Pb 0.6990 0.6990 0.0000

Entry 2:
Computed, not measured: crystalline Ce2GdIn at its relaxed geometry at the GGA-PBE level of DFT.

Magnetic moment   10.217 μB per formula unit
SG   No. 123
Calculated density   7.64 g/cm3
Distance to the lowest polymorph of the same formula   94 meV/atom
Energy   -7.27 eV/atom
Volume   120 Å³ per cell

Lattice parameters (Å, degrees): 4.2092 4.2092 6.7792 90.00 90.00 90.00
Sites, in units of the cell vectors:
Ce 0.0000 0.0000 0.2127
Ce 0.0000 0.0000 0.7873
Gd 0.5000 0.5000 0.5000
In 0.5000 0.5000 0.0000

Entry 3:
Computed, not measured: crystalline Rb3CaPu2O9 at its relaxed geometry at the GGA-PBE level of DFT.

Formation energy without anion corrections   -2.383 eV/atom
Magnetic moment   3.000 μB per formula unit
SG   No. 164
Calculated density   6.25 g/cm3
Energy   -7.60 eV/atom
Volume   247 Å³ per cell

Lattice parameters (Å, degrees): 6.1418 6.1418 7.5462 90.00 90.00 120.00
Sites, in units of the cell vectors:
Rb 0.0000 0.0000 0.0000
Rb 0.3333 0.6667 0.6583
Rb 0.6667 0.3333 0.3417
Ca 0.0000 0.0000 0.5000
Pu 0.3333 0.6667 0.1614
Pu 0.6667 0.3333 0.8386
O 0.0000 0.5000 0.0000
O 0.1809 0.3617 0.3126
O 0.1809 0.8191 0.3126
O 0.3617 0.1809 0.6874
O 0.5000 0.0000 0.0000
O 0.5000 0.5000 0.0000
O 0.6383 0.8191 0.3126
O 0.8191 0.1809 0.6874
O 0.8191 0.6383 0.6874

Entry 4:
Computed, not measured: crystalline Rh2WBr at its relaxed geometry at the GGA-PBE level of DFT.

Formation energy without anion corrections   0.362 eV/atom
Magnetic moment   0.000 μB per formula unit
SG   No. 6
Calculated density   10.06 g/cm3
Distance to the lowest polymorph of the same formula   212 meV/atom
Energy   -6.97 eV/atom
Volume   77 Å³ per cell

Lattice parameters (Å, degrees): 3.6721 2.9574 7.1952 90.00 97.48 90.00
Sites, in units of the cell vectors:
Rh 0.0000 0.0000 0.0000
Rh 0.4449 0.5000 0.8008
W 0.9051 0.0000 0.6428
Br 0.8160 0.5000 0.3435

Entry 5:
Computed, not measured: crystalline SmPa2Pd at its relaxed geometry at the GGA-PBE level of DFT.

Magnetic moment   0.000 μB per formula unit
SG   No. 166
Calculated density   11.95 g/cm3
Energy   -7.00 eV/atom
Volume   100 Å³ per cell

Lattice parameters (Å, degrees): 11.6280 11.6280 11.6280 15.67 15.67 15.67
Sites, in units of the cell vectors:
Sm 0.0000 0.0000 0.0000
Pa 0.4220 0.4220 0.4220
Pa 0.5780 0.5780 0.5780
Pd 0.5000 0.5000 0.5000

Entry 6:
Computed, not measured: crystalline Sr3Y3CuS8 at its relaxed geometry at the GGA-PBE level of DFT.

Formation energy without anion corrections   -1.793 eV/atom
Magnetic moment   0.032 μB per formula unit
SG   No. 12
Calculated density   3.75 g/cm3
Energy   -5.90 eV/atom
Volume   376 Å³ per cell

Lattice parameters (Å, degrees): 7.9963 7.9963 8.2100 119.14 119.14 60.03
Sites, in units of the cell vectors:
Sr 0.0000 0.0000 0.0000
Sr 0.0000 0.5000 0.0000
Sr 0.5000 0.0000 0.0000
Y 0.0000 0.5000 0.5000
Y 0.5000 0.0000 0.5000
Y 0.5000 0.5000 0.5000
Cu 0.0000 0.0000 0.5000
S 0.2375 0.2375 0.7179
S 0.2385 0.7417 0.7187
S 0.2568 0.2568 0.2705
S 0.2583 0.7615 0.2813
S 0.7417 0.2385 0.7187
S 0.7432 0.7432 0.7295
S 0.7615 0.2583 0.2813
S 0.7625 0.7625 0.2821

Entry 7:
Computed, not measured: crystalline Sc5HgBi at its relaxed geometry at the GGA-PBE level of DFT.

Magnetic moment   0.000 μB per formula unit
SG   No. 15
Calculated density   5.96 g/cm3
Energy   -5.24 eV/atom
Volume   353 Å³ per cell

Lattice parameters (Å, degrees): 6.1406 6.1406 11.3157 104.51 104.51 59.85
Sites, in units of the cell vectors:
Sc 0.0895 0.7089 0.9960
Sc 0.2074 0.7926 0.7500
Sc 0.2289 0.2704 0.7705
Sc 0.2704 0.2289 0.2705
Sc 0.2911 0.9105 0.5040
Sc 0.7089 0.0895 0.4960
Sc 0.7296 0.7711 0.7295
Sc 0.7711 0.7296 0.2295
Sc 0.7926 0.2074 0.2500
Sc 0.9105 0.2911 0.0040
Hg 0.0000 0.5000 0.5000
Hg 0.5000 0.0000 0.0000
Bi 0.3048 0.6952 0.2500
Bi 0.6952 0.3048 0.7500

Entry 8:
Computed, not measured: crystalline BaNa4F8 at its relaxed geometry at the GGA-PBE level of DFT.

Formation energy without anion corrections   -2.438 eV/atom
Magnetic moment   2.087 μB per formula unit
SG   No. 166
Calculated density   2.45 g/cm3
Energy   -4.14 eV/atom
Volume   258 Å³ per cell

Lattice parameters (Å, degrees): 7.3827 7.3827 7.3827 55.96 55.96 55.96
Sites, in units of the cell vectors:
Ba 0.0000 0.0000 0.0000
Na 0.0000 0.0000 0.5000
Na 0.0000 0.5000 0.0000
Na 0.5000 0.0000 0.0000
Na 0.5000 0.5000 0.5000
F 0.2106 0.7431 0.7431
F 0.2215 0.2215 0.2215
F 0.2569 0.2569 0.7894
F 0.2569 0.7894 0.2569
F 0.7431 0.2106 0.7431
F 0.7431 0.7431 0.2106
F 0.7785 0.7785 0.7785
F 0.7894 0.2569 0.2569

Entry 9:
Computed, not measured: crystalline Th4Te3H4 at its relaxed geometry at the GGA-PBE level of DFT.

Magnetic moment   0.001 μB per formula unit
SG   No. 71
Calculated density   9.02 g/cm3
Energy   -5.39 eV/atom
Volume   242 Å³ per cell

Lattice parameters (Å, degrees): 8.6661 8.6661 8.6661 153.79 121.89 64.82
Sites, in units of the cell vectors:
Th 0.2038 0.2038 0.0000
Th 0.2773 0.5000 0.7773
Th 0.7227 0.5000 0.2227
Th 0.7962 0.7962 0.0000
Te 0.0000 0.0000 0.0000
Te 0.3747 0.8747 0.5000
Te 0.6253 0.1253 0.5000
H 0.0066 0.6573 0.3493
H 0.3080 0.6573 0.6507
H 0.6920 0.3427 0.3493
H 0.9934 0.3427 0.6507

Entry 10:
Computed, not measured: crystalline Zr2PtAu at its relaxed geometry at the GGA-PBE level of DFT.

Magnetic moment   0.000 μB per formula unit
SG   No. 160
Calculated density   11.49 g/cm3
Energy   -6.91 eV/atom
Volume   83 Å³ per cell

Lattice parameters (Å, degrees): 9.0572 9.0572 9.0572 20.93 20.93 20.93
Sites, in units of the cell vectors:
Zr 0.0000 0.0000 0.0000
Zr 0.2383 0.2383 0.2383
Pt 0.4986 0.4986 0.4986
Au 0.7488 0.7488 0.7488

Entry 11:
Computed, not measured: crystalline WC3N at its relaxed geometry at the GGA-PBE level of DFT.

Formation energy without anion corrections   2.917 eV/atom
Magnetic moment   2.627 μB per formula unit
SG   No. 221
Calculated density   5.55 g/cm3
Distance to the lowest polymorph of the same formula   144 meV/atom
Energy   -6.87 eV/atom
Volume   70 Å³ per cell

Lattice parameters (Å, degrees): 4.1214 4.1214 4.1214 90.00 90.00 90.00
Sites, in units of the cell vectors:
W 0.0000 0.0000 0.0000
C 0.0000 0.0000 0.5000
C 0.0000 0.5000 0.0000
C 0.5000 0.0000 0.0000
N 0.5000 0.5000 0.5000

Entry 12:
Computed, not measured: crystalline Cu2SiAu at its relaxed geometry at the GGA-PBE level of DFT.

Formation energy without anion corrections   0.016 eV/atom
Magnetic moment   0.000 μB per formula unit
SG   No. 25
Calculated density   10.40 g/cm3
Energy   -4.21 eV/atom
Volume   56 Å³ per cell

Lattice parameters (Å, degrees): 2.8675 4.1819 4.6908 90.00 90.00 90.00
Sites, in units of the cell vectors:
Cu 0.0000 0.0000 0.0000
Cu 0.0000 0.5000 0.2995
Si 0.5000 0.5000 0.8594
Au 0.5000 0.0000 0.5111